NbFeBr2O | PBE with a Hubbard U | optimized geometry

Properties
**Space group**: P4/mmm, No. 123
**Total DFT energy (no corrections)**: -4.048 eV per atom
**Crystal system**: tetragonal
**Total moment**: 4.53 Bohr magnetons per cell

a b c (Å): 5.032 5.203 5.032
angles (deg): 90.00 90.00 90.00
Fractional positions:
1 Fe 0.000 0.500 0.000
2 Br 0.000 0.000 0.500
3 Br 0.500 0.000 0.000
4 Nb 0.000 0.000 0.000
5 O 0.500 0.500 0.500